The following is a DFT calculation (PBE+U) of a geometry-optimized Sr3W5O12 structure.

Calculated values
**Crystal system**: cubic
**Size of the total moment**: 12.00 μB per formula unit
**E_tot**: -7.098 eV/atom
**Mass density**: 7.37 Mg/m³

Structure (POSCAR):
```
Sr3W5O12
1.0
11.7161 0.0000 0.0000
-3.9054 11.0461 0.0000
-3.9054 -5.5230 9.5662
O W Sr
48 20 12
Cartesian
-2.1087 2.3173 5.9553
-4.0614 7.8404 3.6108
-0.6061 7.0785 0.7526
7.9668 -2.3173 5.9553
8.4168 5.6490 1.7234
7.6547 1.2373 0.2014
6.7931 -3.9772 8.3939
0.5676 7.0569 6.5065
-2.5203 6.4018 7.6413
-2.8877 9.5002 1.1722
4.8404 1.5458 1.1722
6.0141 3.2057 3.6108
-1.3850 -0.6552 4.5817
-0.9350 3.9772 8.3939
-0.6061 4.0935 0.9708
-2.1087 -4.2857 9.3647
4.9231 -0.9734 5.5357
-0.5676 0.8787 1.9249
8.8284 2.5192 2.8582
1.7967 7.4915 3.8123
3.7493 1.9684 5.7539
-1.3466 0.1260 7.8428
5.2520 5.3971 1.7234
-4.9231 3.0038 6.7079
2.5588 3.9675 0.7526
-3.7493 4.2857 9.3647
1.3850 3.9891 6.5065
2.9704 4.5496 4.0305
7.2431 0.6552 4.5817
-4.5114 -0.1260 7.8428
4.5114 1.4295 8.5954
2.1087 -1.9684 5.7539
-0.9350 -3.0038 6.7079
-1.0177 6.4964 4.0305
-3.3377 4.8679 4.9845
6.0141 9.8088 0.2014
3.3377 -1.5339 3.0597
0.9350 0.9734 5.5357
2.5203 1.5339 3.0597
4.5114 -1.5555 8.8136
4.4730 4.6443 7.6413
1.3466 -1.4295 8.5954
2.5588 6.9526 0.9708
5.2904 6.1782 4.9845
1.3466 1.5555 8.8136
6.4257 -0.8787 1.9249
0.1560 3.5546 3.8123
4.8404 8.5268 2.8582
3.9054 5.5230 0.0000
0.9763 3.4519 8.3704
-2.9290 6.2134 3.5873
0.9763 -2.7615 7.1746
1.9527 2.7615 4.7831
6.8344 -0.6904 5.9789
-0.9763 2.7615 2.3915
2.9290 8.2846 2.3915
-0.9763 0.6904 5.9789
5.8581 0.0000 0.0000
-0.9763 8.9749 1.1958
-3.9054 2.7615 4.7831
4.8817 -3.4519 8.3704
-1.9527 5.5230 0.0000
-1.9527 -2.7615 4.7831
4.8817 2.7615 7.1746
0.0000 0.0000 0.0000
3.9054 -2.7615 4.7831
2.9290 2.0711 1.1958
4.8817 4.8327 3.5873
0.9763 -0.6904 3.5873
8.7871 0.0000 2.3915
-2.9290 2.0711 8.3704
6.8344 3.4519 1.1958
-4.8817 5.5230 7.1746
-0.9763 4.8327 5.9789
-2.9290 -2.0711 8.3704
4.8817 0.6904 3.5873
2.9290 6.2134 5.9789
2.9290 0.0000 7.1746
6.8344 7.5942 1.1958
0.9763 5.5230 2.3915
```